{
  "formula": "Er7In2Co2",
  "functional": "GGA-PBE",
  "state": "optimized geometry",
  "lattice_angstrom": [[3.9043, -5.4256, 0.0000], [3.9043, 5.4256, 0.0000], [0.0000, 0.0000, 6.9336]],
  "species": ["Er", "Er", "Er", "Er", "Er", "Er", "Er", "In", "In", "Co", "Co"],
  "fractional_positions": [[0.0000, 0.0000, 0.0000], [0.0000, 0.5000, 0.2420], [0.0000, 0.5000, 0.7580], [0.5000, 0.0000, 0.2420], [0.5000, 0.0000, 0.7580], [0.5000, 0.5000, 0.2326], [0.5000, 0.5000, 0.7674], [0.1786, 0.1786, 0.5000], [0.8214, 0.8214, 0.5000], [0.2922, 0.7078, 0.0000], [0.7078, 0.2922, 0.0000]],
  "space_group": "Cmmm (65)",
  "dos_ef_per_ev_fu": 10.6,
  "delta_e_f_kj_per_mol_atoms": -18.0,
  "total_energy_ev_per_cell": -53.69
}